Record 1
First-principles (PBE) data for an optimized crystal structure of Pr2HoGa4Pd3, as listed in the Alexandria database.

Lattice parameters (Å, degrees): 4.2679 4.2679 11.6994 90.00 90.00 90.00
Space group P-4m2 (No. 115)
Inequivalent atoms, fractional coordinates:
Pr 0.0000 0.5000 0.2271 x2
Ho 0.0000 0.0000 0.5000 x1
Ga 0.0000 0.0000 0.0000 x1
Ga 0.0000 0.5000 0.6661 x2
Ga 0.5000 0.5000 0.0000 x1
Pd 0.0000 0.5000 0.8787 x2
Pd 0.5000 0.5000 0.5000 x1

Output
N(E_F) (states/eV per cell): 10.3
DFT formation energy (eV/atom): -0.72

Record 2
First-principles (PBE) data for an optimized crystal structure of PrHoGa2Pd5, as listed in the Alexandria database.

Lattice parameters (Å, degrees): 4.2578 4.2578 9.2921 90.00 90.00 90.00
Space group P4/mmm (No. 123)
Inequivalent atoms, fractional coordinates:
Pr 0.0000 0.0000 0.0000 x1
Ho 0.0000 0.0000 0.5000 x1
Ga 0.5000 0.5000 0.3675 x2
Pd 0.0000 0.5000 0.2299 x4
Pd 0.5000 0.5000 0.0000 x1

Output
N(E_F) (states/eV per cell): 5.5
DFT formation energy (eV/atom): -0.76

Record 3
First-principles (PBE) data for an optimized crystal structure of Pr2HoGa3Pd4, as listed in the Alexandria database.

Lattice parameters (Å, degrees): 4.3164 4.3164 11.2676 90.00 90.00 90.00
Space group P-4m2 (No. 115)
Inequivalent atoms, fractional coordinates:
Pr 0.0000 0.5000 0.2272 x2
Ho 0.0000 0.0000 0.5000 x1
Ga 0.0000 0.5000 0.8794 x2
Ga 0.5000 0.5000 0.5000 x1
Pd 0.0000 0.0000 0.0000 x1
Pd 0.0000 0.5000 0.6554 x2
Pd 0.5000 0.5000 0.0000 x1

Output
N(E_F) (states/eV per cell): 7.8
DFT formation energy (eV/atom): -0.80

Record 4
First-principles (PBE) data for an optimized crystal structure of Ho2Ga4PdPt3, as listed in the Alexandria database.

Lattice parameters (Å, degrees): 4.0829 4.0829 11.1361 90.00 90.00 90.00
Space group P-4m2 (No. 115)
Inequivalent atoms, fractional coordinates:
Ho 0.0000 0.5000 0.2462 x2
Ga 0.0000 0.0000 0.0000 x1
Ga 0.0000 0.5000 0.6346 x2
Ga 0.5000 0.5000 0.0000 x1
Pd 0.0000 0.0000 0.5000 x1
Pt 0.0000 0.5000 0.8572 x2
Pt 0.5000 0.5000 0.5000 x1

Output
N(E_F) (states/eV per cell): 3.4
DFT formation energy (eV/atom): -0.93

Record 5
First-principles (PBE) data for an optimized crystal structure of HoGaPdPt, as listed in the Alexandria database.

Lattice parameters (Å, degrees): 6.6060 6.6060 6.6060 90.00 90.00 90.00
Space group F-43m (No. 216)
Inequivalent atoms, fractional coordinates:
Ho 0.0000 0.0000 0.0000 x4
Ga 0.0000 0.0000 0.5000 x4
Pd 0.2500 0.2500 0.7500 x4
Pt 0.2500 0.2500 0.2500 x4

Output
N(E_F) (states/eV per cell): 12.6
DFT formation energy (eV/atom): -0.89

Record 6
First-principles (PBE) data for an optimized crystal structure of Ho2Ga3PdPt4, as listed in the Alexandria database.

Lattice parameters (Å, degrees): 3.9831 3.9831 11.7492 90.00 90.00 90.00
Space group P-4m2 (No. 115)
Inequivalent atoms, fractional coordinates:
Ho 0.0000 0.5000 0.2388 x2
Ga 0.0000 0.0000 0.0000 x1
Ga 0.0000 0.5000 0.6317 x2
Pd 0.5000 0.5000 0.0000 x1
Pt 0.0000 0.0000 0.5000 x1
Pt 0.0000 0.5000 0.8397 x2
Pt 0.5000 0.5000 0.5000 x1

Output
N(E_F) (states/eV per cell): 4.9
DFT formation energy (eV/atom): -0.92

Record 7
First-principles (PBE) data for an optimized crystal structure of Ho2Ga4Pd3Pt, as listed in the Alexandria database.

Lattice parameters (Å, degrees): 4.0467 4.0467 11.2975 90.00 90.00 90.00
Space group P-4m2 (No. 115)
Inequivalent atoms, fractional coordinates:
Ho 0.0000 0.5000 0.2479 x2
Ga 0.0000 0.0000 0.5000 x1
Ga 0.0000 0.5000 0.8650 x2
Ga 0.5000 0.5000 0.5000 x1
Pd 0.0000 0.0000 0.0000 x1
Pd 0.0000 0.5000 0.6458 x2
Pt 0.5000 0.5000 0.0000 x1

Output
N(E_F) (states/eV per cell): 6.4
DFT formation energy (eV/atom): -0.81

Record 8
First-principles (PBE) data for an optimized crystal structure of HoGa3PdPt, as listed in the Alexandria database.

Lattice parameters (Å, degrees): 5.8847 13.1516 5.7528 90.00 90.00 90.00
Space group Cmcm (No. 63)
Inequivalent atoms, fractional coordinates:
Ho 0.0000 0.2025 0.2500 x4
Ga 0.0000 0.3552 0.7500 x4
Ga 0.2136 0.0000 0.0000 x8
Pd 0.0000 0.1568 0.7500 x4
Pt 0.0000 0.4069 0.2500 x4

Output
N(E_F) (states/eV per cell): 10.1
DFT formation energy (eV/atom): -0.57

Record 9
First-principles (PBE) data for an optimized crystal structure of HoGa2Pd2Pt, as listed in the Alexandria database.

Lattice parameters (Å, degrees): 4.7188 4.7188 5.5047 90.00 90.00 90.00
Space group P4/mmm (No. 123)
Inequivalent atoms, fractional coordinates:
Ho 0.0000 0.0000 0.0000 x1
Ga 0.0000 0.5000 0.5000 x2
Pd 0.5000 0.5000 0.2436 x2
Pt 0.0000 0.0000 0.5000 x1

Output
N(E_F) (states/eV per cell): 2.8
DFT formation energy (eV/atom): -0.50

Record 10
First-principles (PBE) data for an optimized crystal structure of HoPuGa2Pd2, as listed in the Alexandria database.

Lattice parameters (Å, degrees): 4.5105 4.5105 6.8412 90.00 90.00 120.00
Space group P-3m1 (No. 164)
Inequivalent atoms, fractional coordinates:
Ho 0.0000 0.0000 0.0000 x1
Pu 0.0000 0.0000 0.5000 x1
Ga 0.3333 0.6667 0.2407 x2
Pd 0.3333 0.6667 0.7641 x2

Output
N(E_F) (states/eV per cell): 13.0
DFT formation energy (eV/atom): -0.70

Record 11
First-principles (PBE) data for an optimized crystal structure of Ho2Ga4Pd3Rh, as listed in the Alexandria database.

Lattice parameters (Å, degrees): 4.1523 4.1523 10.6905 90.00 90.00 90.00
Space group P-4m2 (No. 115)
Inequivalent atoms, fractional coordinates:
Ho 0.0000 0.5000 0.2422 x2
Ga 0.0000 0.0000 0.5000 x1
Ga 0.0000 0.5000 0.8702 x2
Ga 0.5000 0.5000 0.5000 x1
Pd 0.0000 0.0000 0.0000 x1
Pd 0.0000 0.5000 0.6398 x2
Rh 0.5000 0.5000 0.0000 x1

Output
N(E_F) (states/eV per cell): 5.6
DFT formation energy (eV/atom): -0.78

Record 12
First-principles (PBE) data for an optimized crystal structure of HoGaPdRh, as listed in the Alexandria database.

Lattice parameters (Å, degrees): 6.5243 6.5243 6.5243 90.00 90.00 90.00
Space group F-43m (No. 216)
Inequivalent atoms, fractional coordinates:
Ho 0.0000 0.0000 0.0000 x4
Ga 0.0000 0.0000 0.5000 x4
Pd 0.2500 0.2500 0.7500 x4
Rh 0.2500 0.2500 0.2500 x4

Output
N(E_F) (states/eV per cell): 12.2
DFT formation energy (eV/atom): -0.79

Record 13
First-principles (PBE) data for an optimized crystal structure of HoGa4PdRh2, as listed in the Alexandria database.

Lattice parameters (Å, degrees): 4.2667 4.2667 25.5226 90.00 90.00 120.00
Space group R-3m (No. 166, hexagonal axes)
Inequivalent atoms, fractional coordinates:
Ho 0.0000 0.0000 0.0000 x3
Ga 0.0000 0.0000 0.1287 x6
Ga 0.0000 0.0000 0.3968 x6
Pd 0.0000 0.0000 0.5000 x3
Rh 0.0000 0.0000 0.2351 x6

Output
N(E_F) (states/eV per cell): 16.5
DFT formation energy (eV/atom): -0.65

Record 14
First-principles (PBE) data for an optimized crystal structure of Ho4GaPdRu2, as listed in the Alexandria database.

Lattice parameters (Å, degrees): 4.8798 4.8798 23.9870 90.00 90.00 120.00
Space group R-3m (No. 166, hexagonal axes)
Inequivalent atoms, fractional coordinates:
Ho 0.0000 0.0000 0.1230 x6
Ho 0.0000 0.0000 0.3734 x6
Ga 0.0000 0.0000 0.5000 x3
Pd 0.0000 0.0000 0.0000 x3
Ru 0.0000 0.0000 0.2488 x6

Output
N(E_F) (states/eV per cell): 15.5
DFT formation energy (eV/atom): -0.56

Record 15
First-principles (PBE) data for an optimized crystal structure of HoGaPdRu, as listed in the Alexandria database.

Lattice parameters (Å, degrees): 6.4883 6.4883 6.4883 90.00 90.00 90.00
Space group F-43m (No. 216)
Inequivalent atoms, fractional coordinates:
Ho 0.0000 0.0000 0.0000 x4
Ga 0.0000 0.0000 0.5000 x4
Pd 0.2500 0.2500 0.2500 x4
Ru 0.2500 0.2500 0.7500 x4

Output
N(E_F) (states/eV per cell): 3.2
DFT formation energy (eV/atom): -0.58

Record 16
First-principles (PBE) data for an optimized crystal structure of Ho2Ga5PdRu2, as listed in the Alexandria database.

Lattice parameters (Å, degrees): 9.5827 9.5827 3.8996 90.00 90.00 90.00
Space group P4/mbm (No. 127)
Inequivalent atoms, fractional coordinates:
Ho 0.1810 0.3190 0.0000 x4
Ga 0.0000 0.5000 0.5000 x2
Ga 0.0578 0.8002 0.5000 x8
Pd 0.0000 0.0000 0.0000 x2
Ru 0.1175 0.6175 0.0000 x4

Output
N(E_F) (states/eV per cell): 11.5
DFT formation energy (eV/atom): -0.45

Record 17
First-principles (PBE) data for an optimized crystal structure of HoGa4PdRu2, as listed in the Alexandria database.

Lattice parameters (Å, degrees): 4.2734 4.2734 25.2140 90.00 90.00 120.00
Space group R-3m (No. 166, hexagonal axes)
Inequivalent atoms, fractional coordinates:
Ho 0.0000 0.0000 0.0000 x3
Ga 0.0000 0.0000 0.1285 x6
Ga 0.0000 0.0000 0.3964 x6
Pd 0.0000 0.0000 0.5000 x3
Ru 0.0000 0.0000 0.2353 x6

Output
N(E_F) (states/eV per cell): 14.6
DFT formation energy (eV/atom): -0.47

Record 18
First-principles (PBE) data for an optimized crystal structure of Ho2Sc2Ga4Pd, as listed in the Alexandria database.

Lattice parameters (Å, degrees): 6.3869 6.3869 9.1496 90.00 90.00 90.00
Space group I4/mmm (No. 139)
Inequivalent atoms, fractional coordinates:
Ho 0.0000 0.5000 0.2500 x4
Sc 0.0000 0.0000 0.2218 x4
Ga 0.2200 0.2200 0.0000 x8
Pd 0.0000 0.0000 0.5000 x2

Output
N(E_F) (states/eV per cell): 13.3
DFT formation energy (eV/atom): -0.48

Record 19
First-principles (PBE) data for an optimized crystal structure of Sm2HoGa4Pd3, as listed in the Alexandria database.

Lattice parameters (Å, degrees): 4.1854 4.1854 11.8938 90.00 90.00 90.00
Space group P-4m2 (No. 115)
Inequivalent atoms, fractional coordinates:
Sm 0.0000 0.5000 0.2262 x2
Ho 0.0000 0.0000 0.5000 x1
Ga 0.0000 0.0000 0.0000 x1
Ga 0.0000 0.5000 0.6668 x2
Ga 0.5000 0.5000 0.0000 x1
Pd 0.0000 0.5000 0.8749 x2
Pd 0.5000 0.5000 0.5000 x1

Output
N(E_F) (states/eV per cell): 8.1
DFT formation energy (eV/atom): -0.72

Record 20
First-principles (PBE) data for an optimized crystal structure of Sm2HoGa3Pd4, as listed in the Alexandria database.

Lattice parameters (Å, degrees): 4.2540 4.2540 11.3522 90.00 90.00 90.00
Space group P-4m2 (No. 115)
Inequivalent atoms, fractional coordinates:
Sm 0.0000 0.5000 0.2264 x2
Ho 0.0000 0.0000 0.5000 x1
Ga 0.0000 0.5000 0.8773 x2
Ga 0.5000 0.5000 0.5000 x1
Pd 0.0000 0.0000 0.0000 x1
Pd 0.0000 0.5000 0.6573 x2
Pd 0.5000 0.5000 0.0000 x1

Output
N(E_F) (states/eV per cell): 8.4
DFT formation energy (eV/atom): -0.79

Record 21
First-principles (PBE) data for an optimized crystal structure of SmHoGaPd, as listed in the Alexandria database.

Lattice parameters (Å, degrees): 4.4931 3.7861 11.1214 90.00 90.00 90.00
Space group Amm2 (No. 38)
Inequivalent atoms, fractional coordinates:
Sm 0.0000 0.0000 0.0000 x2
Ho 0.5000 0.0000 0.7147 x2
Ga 0.5000 0.0000 0.4301 x2
Pd 0.0000 0.0000 0.2791 x2

Output
N(E_F) (states/eV per cell): 7.9
DFT formation energy (eV/atom): -0.72
Excess energy over the best structure of this formula in the dataset (meV/atom): 0

Record 22
First-principles (PBE) data for an optimized crystal structure of SmHoGaPd, as listed in the Alexandria database.

Lattice parameters (Å, degrees): 7.1651 7.1651 7.1651 90.00 90.00 90.00
Space group F-43m (No. 216)
Inequivalent atoms, fractional coordinates:
Sm 0.0000 0.0000 0.0000 x4
Ho 0.0000 0.0000 0.5000 x4
Ga 0.2500 0.2500 0.2500 x4
Pd 0.2500 0.2500 0.7500 x4

Output
N(E_F) (states/eV per cell): 13.6
DFT formation energy (eV/atom): -0.67
Excess energy over the best structure of this formula in the dataset (meV/atom): 44

Record 23
First-principles (PBE) data for an optimized crystal structure of SmHoGa2Pd5, as listed in the Alexandria database.

Lattice parameters (Å, degrees): 4.2248 4.2248 9.2746 90.00 90.00 90.00
Space group P4/mmm (No. 123)
Inequivalent atoms, fractional coordinates:
Sm 0.0000 0.0000 0.0000 x1
Ho 0.0000 0.0000 0.5000 x1
Ga 0.5000 0.5000 0.3671 x2
Pd 0.0000 0.5000 0.2262 x4
Pd 0.5000 0.5000 0.0000 x1

Output
N(E_F) (states/eV per cell): 5.3
DFT formation energy (eV/atom): -0.79